PBE Ac4PtS3, optimized geometry; polymorph energy (0 for the lowest one) = 12.4 meV/atom
1.0
6.1671 0.0000 0.0000
0.0000 6.1671 0.0000
0.0000 0.0000 6.1671
Ac Pt S
4 1 3
Direct
0.0000 0.0000 0.0000 Ac
0.0000 0.5000 0.5000 Ac
0.5000 0.0000 0.5000 Ac
0.5000 0.5000 0.0000 Ac
0.5000 0.5000 0.5000 Pt
0.0000 0.0000 0.5000 S
0.0000 0.5000 0.0000 S
0.5000 0.0000 0.0000 S